Entry 1:
A relaxed Zn2Pt8Rh crystal. Source: the Alexandria database, functional PBE-GGA.

Lattice parameters (Å, degrees): 4.724 6.963 6.963 58.23 74.51 74.51
Fractional coordinates of all 11 atoms:
1 Pt 0.779 0.220 0.626
2 Pt 0.320 0.369 0.369
3 Pt 0.053 0.774 0.774
4 Pt 0.221 0.780 0.374
5 Rh 0.000 0.000 0.000
6 Pt 0.221 0.374 0.780
7 Pt 0.680 0.631 0.631
8 Zn 0.501 0.143 0.143
9 Pt 0.947 0.226 0.226
10 Zn 0.499 0.857 0.857
11 Pt 0.779 0.626 0.220

The calculation puts the offset from the most stable computed form at 102 meV per atom. The spin magnetization is 0.00 μB/cell. The space group is C2/m (12). Its calculated total energy is -5.236 eV per atom.

***

Entry 2:
A relaxed NpAgBi2 crystal. Source: the Alexandria database, functional PBE-GGA.

Lattice parameters (Å, degrees): 5.353 5.353 5.353 60.00 60.00 60.00
Last column: magnetic moment on the atom in μB.
Fractional coordinates of all 4 atoms:
1 Bi 0.750 0.750 0.750  0.06
2 Ag 0.500 0.500 0.500  0.00
3 Bi 0.250 0.250 0.250  0.06
4 Np 0.000 0.000 0.000  4.13

The spin magnetization is 4.48 μB/cell. The space group is Fm-3m (225). Its calculated total energy is -5.669 eV per atom.

***

Entry 3:
A relaxed KCrCl2 crystal. Source: the Alexandria database, functional PBE-GGA.

Lattice parameters (Å, degrees): 5.093 5.093 5.093 60.00 60.00 60.00
Last column: magnetic moment on the atom in μB.
Fractional coordinates of all 4 atoms:
1 Cl 0.250 0.250 0.250  0.00
2 Cl 0.750 0.750 0.750  0.00
3 Cr 0.500 0.500 0.500  4.37
4 K 0.000 0.000 0.000  0.01

The calculation puts the offset from the most stable computed form at 246 meV per atom. The uncorrected formation energy is -287 kJ/mol of formula units. The spin magnetization is 5.00 μB/cell. The space group is Fm-3m (225). Its calculated total energy is -4.346 eV per atom.

***

Entry 4:
A relaxed Ba2InO crystal. Source: the Alexandria database, functional PBE-GGA.

Lattice parameters (Å, degrees): 4.159 5.473 11.021 90.00 100.88 90.00
Fractional coordinates of all 8 atoms:
1 O 0.213 0.750 0.425
2 Ba 0.789 0.750 0.578
3 In 0.959 0.750 0.919
4 Ba 0.399 0.250 0.797
5 In 0.041 0.250 0.081
6 Ba 0.601 0.750 0.203
7 Ba 0.211 0.250 0.422
8 O 0.787 0.250 0.575

The calculation puts the offset from the most stable computed form at 0 meV per atom. The uncorrected formation energy is -529 kJ/mol of formula units. The spin magnetization is 0.00 μB/cell. The space group is Cmcm (63). Its calculated total energy is -4.256 eV per atom.

***

Entry 5:
A relaxed PmAl2AgAu4 crystal. Source: the Alexandria database, functional PBE-GGA.

Lattice parameters (Å, degrees): 4.474 4.474 9.462 76.33 76.33 60.00
Fractional coordinates of all 8 atoms:
1 Au 0.877 0.877 0.370
2 Pm 0.000 0.000 0.000
3 Au 0.123 0.123 0.630
4 Al 0.760 0.760 0.719
5 Al 0.240 0.240 0.281
6 Ag 0.500 0.500 0.500
7 Au 0.605 0.605 0.186
8 Au 0.395 0.395 0.814

The spin magnetization is 0.00 μB/cell. The space group is R-3m (166). Its calculated total energy is -3.974 eV per atom.

***

Entry 6:
A relaxed MnBe4Cd crystal. Source: the Alexandria database, functional PBE-GGA.

Lattice parameters (Å, degrees): 4.482 4.482 4.482 60.00 60.00 60.00
Last column: magnetic moment on the atom in μB.
Fractional coordinates of all 6 atoms:
1 Be 0.884 0.372 0.372  -0.03
2 Mn 0.000 0.000 0.000  2.78
3 Cd 0.750 0.750 0.750  0.02
4 Be 0.372 0.372 0.372  -0.03
5 Be 0.372 0.372 0.884  -0.03
6 Be 0.372 0.884 0.372  -0.03

The spin magnetization is 2.76 μB/cell. The space group is F-43m (216). Its calculated total energy is -4.079 eV per atom.

***

Entry 7:
A relaxed BaSi2Pb2 crystal. Source: the Alexandria database, functional PBE-GGA.

Lattice parameters (Å, degrees): 4.903 4.903 7.024 69.58 69.58 90.00
Fractional coordinates of all 5 atoms:
1 Si 0.404 0.404 0.192
2 Pb 0.750 0.250 0.500
3 Pb 0.250 0.750 0.500
4 Si 0.596 0.596 0.808
5 Ba 0.000 0.000 0.000

The calculation puts the offset from the most stable computed form at 0 meV per atom. The uncorrected formation energy is -42 kJ/mol of formula units. The spin magnetization is 0.00 μB/cell. The space group is I4/mmm (139). Its calculated total energy is -4.123 eV per atom.

***

Entry 8:
A relaxed HfTiNb2Bi crystal. Source: the Alexandria database, functional PBE-GGA.

Lattice parameters (Å, degrees): 4.965 4.920 4.965 90.00 90.00 90.00
Fractional coordinates of all 5 atoms:
1 Bi 0.500 0.500 0.500
2 Hf 0.000 0.000 0.000
3 Nb 0.000 0.000 0.500
4 Nb 0.500 0.000 0.000
5 Ti 0.000 0.500 0.000

The spin magnetization is 0.00 μB/cell. The space group is P4/mmm (123). Its calculated total energy is -7.104 eV per atom.

***

Entry 9:
A relaxed Pr4TmCd3 crystal. Source: the Alexandria database, functional PBE-GGA.

Lattice parameters (Å, degrees): 3.810 5.595 11.296 90.00 90.00 90.00
Fractional coordinates of all 8 atoms:
1 Cd 0.500 0.000 0.245
2 Cd 0.500 0.500 0.500
3 Cd 0.500 0.000 0.755
4 Pr 0.000 0.500 0.260
5 Tm 0.500 0.500 0.000
6 Pr 0.000 0.000 0.000
7 Pr 0.000 0.500 0.740
8 Pr 0.000 0.000 0.500

The spin magnetization is 0.02 μB/cell. The space group is Pmmm (47). Its calculated total energy is -3.490 eV per atom.

***

Entry 10:
A relaxed PdRhO2 crystal. Source: the Alexandria database, functional PBE-GGA.

Lattice parameters (Å, degrees): 2.935 6.272 3.090 90.02 90.00 117.89
Fractional coordinates of all 4 atoms:
1 Rh 0.831 0.548 0.408
2 O 0.593 0.310 0.908
3 O 0.070 0.786 0.908
4 Pd 0.831 0.048 0.908

The uncorrected formation energy is -176 kJ/mol of formula units. The spin magnetization is 0.00 μB/cell. The space group is Pmmm (47). Its calculated total energy is -6.071 eV per atom.

***

Entry 11:
A relaxed HfNi4Mo crystal. Source: the Alexandria database, functional PBE-GGA.

Lattice parameters (Å, degrees): 4.815 4.815 4.815 60.00 60.00 60.00
Last column: magnetic moment on the atom in μB.
Fractional coordinates of all 6 atoms:
1 Ni 0.126 0.625 0.625  0.35
2 Mo 0.250 0.250 0.250  1.19
3 Hf 0.000 0.000 0.000  0.13
4 Ni 0.625 0.126 0.625  0.35
5 Ni 0.625 0.625 0.126  0.35
6 Ni 0.625 0.625 0.625  0.35

The spin magnetization is 2.77 μB/cell. The space group is F-43m (216). Its calculated total energy is -7.525 eV per atom.

***

Entry 12:
A relaxed Ca4TlIn crystal. Source: the Alexandria database, functional PBE-GGA.

Lattice parameters (Å, degrees): 6.483 9.088 8.869 115.62 104.68 102.64
Fractional coordinates of all 12 atoms:
1 In 0.387 0.637 0.274
2 Ca 0.777 0.690 0.639
3 Tl 0.756 0.006 0.012
4 Ca 0.363 0.950 0.639
5 Ca 0.345 0.630 0.874
6 Ca 0.971 0.756 0.126
7 Ca 0.223 0.310 0.361
8 Tl 0.244 0.994 0.988
9 Ca 0.029 0.244 0.874
10 Ca 0.655 0.370 0.126
11 Ca 0.637 0.050 0.361
12 In 0.613 0.363 0.726

The calculation puts the offset from the most stable computed form at 27 meV per atom. The spin magnetization is 0.00 μB/cell. The space group is C2/c (15). Its calculated total energy is -2.476 eV per atom.